1.
# HgO3F PBE-GGA optimized geometry
# ΔE_f (raw): 1.026 eV per atom
# Total moment: 3.49 μB/cell
# V: 14.06 Å³ per atom
data_HgO3F
_cell_length_a 4.127
_cell_length_b 4.127
_cell_length_c 4.127
_cell_angle_alpha 90.00
_cell_angle_beta 90.00
_cell_angle_gamma 90.00
_space_group_name_H-M_alt 'P m -3 m'
_space_group_IT_number 221
_space_group_name_Hall '-P 4 2 3'
loop_
_atom_site_label
_atom_site_fract_x
_atom_site_fract_y
_atom_site_fract_z
Hg1 0.000 0.000 0.000
O1 0.000 0.000 0.500
F1 0.500 0.500 0.500



2.
# Hg3O2F2 PBE-GGA optimized geometry
# ΔE_f (raw): -0.792 eV per atom
# Total moment: 0.00 μB/cell
# V: 17.70 Å³ per atom
data_Hg3O2F2
_cell_length_a 6.022
_cell_length_b 6.946
_cell_length_c 6.829
_cell_angle_alpha 90.00
_cell_angle_beta 119.80
_cell_angle_gamma 90.00
_space_group_name_H-M_alt 'P 1 21/c 1'
_space_group_IT_number 14
loop_
_space_group_symop_operation_xyz
'x,y,z'
'-x,-y,-z'
'-x,y+1/2,-z+1/2'
'x,-y+1/2,z+1/2'
loop_
_atom_site_label
_atom_site_fract_x
_atom_site_fract_y
_atom_site_fract_z
Hg1 0.000 0.000 0.000
Hg2 0.348 0.083 0.709
O1 0.347 0.127 0.072
F1 0.115 0.643 0.917